Entry i
Entry from the Alexandria database: a relaxed structure of GePt2Se (GGA-PBE).

Theoretical density (Mg/m³): 11.33
Spin magnetization (μB/atom): 0.000

Cell and atoms, written as CIF:
```
data_GePt2Se
_symmetry_space_group_name_H-M 'I -4 2 d'
_symmetry_Int_Tables_number 122
_symmetry_space_group_name_Hall 'I -4 2bw'
_cell_length_a 4.601
_cell_length_b 4.601
_cell_length_c 15.000
_cell_angle_alpha 90.00
_cell_angle_beta 90.00
_cell_angle_gamma 90.00
loop_
_atom_site_label
_atom_site_fract_x
_atom_site_fract_y
_atom_site_fract_z
_atom_site_occupancy
Ge1 0.000 0.000 0.000 1
Pt1 0.244 0.250 0.125 1
Se1 0.000 0.000 0.500 1
```

=====

Entry ii
Entry from the Alexandria database: a relaxed structure of GePt2Se (GGA-PBE).

Theoretical density (Mg/m³): 13.40
Spin magnetization (μB/atom): 0.000

Cell and atoms, written as CIF:
```
data_GePt2Se
_symmetry_space_group_name_H-M 'F m -3 m'
_symmetry_Int_Tables_number 225
_symmetry_space_group_name_Hall '-F 4 2 3'
_cell_length_a 6.451
_cell_length_b 6.451
_cell_length_c 6.451
_cell_angle_alpha 90.00
_cell_angle_beta 90.00
_cell_angle_gamma 90.00
loop_
_atom_site_label
_atom_site_fract_x
_atom_site_fract_y
_atom_site_fract_z
_atom_site_occupancy
Ge1 0.000 0.000 0.000 1
Pt1 0.250 0.250 0.250 1
Se1 0.000 0.000 0.500 1
```

=====

Which structure wins on stability? entry i wins.

=====

Entry i
Entry from the Alexandria database: a relaxed structure of Si2GePt2 (GGA-PBE).

Theoretical density (Mg/m³): 9.92
Spin magnetization (μB/atom): 0.000

Cell and atoms, written as CIF:
```
data_Si2GePt2
_symmetry_space_group_name_H-M 'P 1 21/m 1'
_symmetry_Int_Tables_number 11
_cell_length_a 6.147
_cell_length_b 3.549
_cell_length_c 7.976
_cell_angle_alpha 90.00
_cell_angle_beta 92.81
_cell_angle_gamma 90.00
loop_
_symmetry_equiv_pos_as_xyz
'x,y,z'
'-x,-y,-z'
'-x,y+1/2,-z'
'x,-y+1/2,z'
loop_
_atom_site_label
_atom_site_fract_x
_atom_site_fract_y
_atom_site_fract_z
_atom_site_occupancy
Si1 0.079 0.250 0.275 1
Si2 0.314 0.250 0.045 1
Ge1 0.442 0.250 0.639 1
Pt1 0.184 0.750 0.475 1
Pt2 0.300 0.750 0.842 1
```

=====

Entry ii
Entry from the Alexandria database: a relaxed structure of Si2GePt2 (GGA-PBE).

Theoretical density (Mg/m³): 10.13
Spin magnetization (μB/atom): 0.000

Cell and atoms, written as CIF:
```
data_Si2GePt2
_symmetry_space_group_name_H-M 'I 4/m m m'
_symmetry_Int_Tables_number 139
_symmetry_space_group_name_Hall '-I 4 2'
_cell_length_a 3.846
_cell_length_b 3.846
_cell_length_c 11.508
_cell_angle_alpha 90.00
_cell_angle_beta 90.00
_cell_angle_gamma 90.00
loop_
_atom_site_label
_atom_site_fract_x
_atom_site_fract_y
_atom_site_fract_z
_atom_site_occupancy
Si1 0.000 0.500 0.250 1
Ge1 0.000 0.000 0.000 1
Pt1 0.000 0.000 0.376 1
```

=====

Which structure wins on stability? entry i wins.

=====

Entry i
Entry from the Alexandria database: a relaxed structure of SiGe3Pt (GGA-PBE).

Theoretical density (Mg/m³): 7.22
Spin magnetization (μB/atom): 0.000

Cell and atoms, written as CIF:
```
data_SiGe3Pt
_symmetry_space_group_name_H-M 'P m -3 m'
_symmetry_Int_Tables_number 221
_symmetry_space_group_name_Hall '-P 4 2 3'
_cell_length_a 4.664
_cell_length_b 4.664
_cell_length_c 4.664
_cell_angle_alpha 90.00
_cell_angle_beta 90.00
_cell_angle_gamma 90.00
loop_
_atom_site_label
_atom_site_fract_x
_atom_site_fract_y
_atom_site_fract_z
_atom_site_occupancy
Si1 0.000 0.000 0.000 1
Ge1 0.000 0.000 0.500 1
Pt1 0.500 0.500 0.500 1
```

=====

Entry ii
Entry from the Alexandria database: a relaxed structure of SiGe3Pt (GGA-PBE).

Theoretical density (Mg/m³): 6.35
Spin magnetization (μB/atom): 0.000

Cell and atoms, written as CIF:
```
data_SiGe3Pt
_symmetry_space_group_name_H-M 'P m -3 m'
_symmetry_Int_Tables_number 221
_symmetry_space_group_name_Hall '-P 4 2 3'
_cell_length_a 4.868
_cell_length_b 4.868
_cell_length_c 4.868
_cell_angle_alpha 90.00
_cell_angle_beta 90.00
_cell_angle_gamma 90.00
loop_
_atom_site_label
_atom_site_fract_x
_atom_site_fract_y
_atom_site_fract_z
_atom_site_occupancy
Si1 0.000 0.000 0.000 1
Ge1 0.000 0.500 0.500 1
Pt1 0.500 0.500 0.500 1
```

=====

Which structure wins on stability? entry ii wins.

=====

Entry i
Entry from the Alexandria database: a relaxed structure of SmGePt4 (GGA-PBE).

Theoretical density (Mg/m³): 15.38
Spin magnetization (μB/atom): 0.000

Cell and atoms, written as CIF:
```
data_SmGePt4
_symmetry_space_group_name_H-M 'P m m a'
_symmetry_Int_Tables_number 51
_cell_length_a 7.668
_cell_length_b 4.026
_cell_length_c 7.018
_cell_angle_alpha 90.00
_cell_angle_beta 90.00
_cell_angle_gamma 90.00
loop_
_symmetry_equiv_pos_as_xyz
'x,y,z'
'-x,-y,-z'
'-x+1/2,-y,z'
'x+1/2,y,-z'
'x+1/2,-y,-z'
'-x+1/2,y,z'
'-x,y,-z'
'x,-y,z'
loop_
_atom_site_label
_atom_site_fract_x
_atom_site_fract_y
_atom_site_fract_z
_atom_site_occupancy
Sm1 0.250 0.000 0.138 1
Ge1 0.250 0.000 0.723 1
Pt1 0.000 0.000 0.500 1
Pt2 0.049 0.500 0.807 1
Pt3 0.250 0.500 0.450 1
```

=====

Entry ii
Entry from the Alexandria database: a relaxed structure of SmGePt4 (GGA-PBE).

Theoretical density (Mg/m³): 14.96
Spin magnetization (μB/atom): 0.000

Cell and atoms, written as CIF:
```
data_SmGePt4
_symmetry_space_group_name_H-M 'F -4 3 m'
_symmetry_Int_Tables_number 216
_symmetry_space_group_name_Hall 'F -4 2 3'
_cell_length_a 7.637
_cell_length_b 7.637
_cell_length_c 7.637
_cell_angle_alpha 90.00
_cell_angle_beta 90.00
_cell_angle_gamma 90.00
loop_
_atom_site_label
_atom_site_fract_x
_atom_site_fract_y
_atom_site_fract_z
_atom_site_occupancy
Sm1 0.000 0.000 0.000 1
Ge1 0.250 0.250 0.250 1
Pt1 0.125 0.125 0.625 1
```

=====

Which structure wins on stability? entry i wins.